{"formula": "Cs3BeI6", "functional": "GGA-PBE", "state": "relaxed", "relative_energy_ev_per_atom": 0.209, "e_form_raw_ev_per_atom": -0.890, "sg": "I4/mmm", "lattice_angstrom": [[-4.474, 4.474, 6.322], [4.474, -4.474, 6.322], [4.474, 4.474, -6.322]], "species": ["Cs", "Cs", "Cs", "Be", "I", "I", "I", "I", "I", "I"], "fractional_positions": [[0.000, 0.000, 0.000], [0.250, 0.750, 0.500], [0.750, 0.250, 0.500], [0.500, 0.500, 0.000], [0.287, 0.287, 0.575], [0.287, 0.713, 0.000], [0.288, 0.288, 0.000], [0.712, 0.712, 0.000], [0.713, 0.287, 0.000], [0.713, 0.713, 0.425]]}



{"formula": "CaNd12Er5", "functional": "GGA-PBE", "state": "relaxed", "formation_energy_ev_per_atom": 0.04, "sg": "P2/m", "lattice_angstrom": [[10.914, 0.000, 0.000], [0.000, 5.168, 0.000], [-0.114, 0.000, 10.929]], "species": ["Ca", "Nd", "Nd", "Nd", "Nd", "Nd", "Nd", "Nd", "Nd", "Nd", "Nd", "Nd", "Nd", "Er", "Er", "Er", "Er", "Er"], "fractional_positions": [[0.000, 0.000, 0.000], [0.003, 0.000, 0.663], [0.169, 0.500, 0.502], [0.171, 0.500, 0.171], [0.334, 0.000, 0.334], [0.337, 0.000, 0.997], [0.498, 0.500, 0.831], [0.502, 0.500, 0.169], [0.663, 0.000, 0.003], [0.666, 0.000, 0.666], [0.829, 0.500, 0.829], [0.831, 0.500, 0.498], [0.997, 0.000, 0.337], [0.173, 0.500, 0.827], [0.334, 0.000, 0.666], [0.500, 0.500, 0.500], [0.666, 0.000, 0.334], [0.827, 0.500, 0.173]]}



{"formula": "Pr12DyEr5", "functional": "GGA-PBE", "state": "relaxed", "formation_energy_ev_per_atom": 0.03, "sg": "Cmmm", "lattice_angstrom": [[7.706, -7.763, 0.000], [7.706, 7.763, 0.000], [0.000, 0.000, 5.177]], "species": ["Pr", "Pr", "Pr", "Pr", "Pr", "Pr", "Pr", "Pr", "Pr", "Pr", "Pr", "Pr", "Dy", "Er", "Er", "Er", "Er", "Er"], "fractional_positions": [[0.002, 0.669, 0.500], [0.164, 0.164, 0.000], [0.169, 0.502, 0.000], [0.331, 0.998, 0.500], [0.335, 0.335, 0.500], [0.498, 0.831, 0.000], [0.502, 0.169, 0.000], [0.665, 0.665, 0.500], [0.669, 0.002, 0.500], [0.831, 0.498, 0.000], [0.836, 0.836, 0.000], [0.998, 0.331, 0.500], [0.500, 0.500, 0.000], [0.000, 0.000, 0.500], [0.167, 0.833, 0.000], [0.333, 0.667, 0.500], [0.667, 0.333, 0.500], [0.833, 0.167, 0.000]]}



{"formula": "AgS2I", "functional": "GGA-PBE", "state": "relaxed", "relative_energy_ev_per_atom": 0.305, "e_form_raw_ev_per_atom": 0.515, "sg": "I-42d", "lattice_angstrom": [[-2.685, 2.685, 7.483], [2.685, -2.685, 7.483], [2.685, 2.685, -7.483]], "species": ["Ag", "Ag", "S", "S", "S", "S", "I", "I"], "fractional_positions": [[0.000, 0.000, 0.000], [0.750, 0.250, 0.500], [0.115, 0.625, 0.990], [0.375, 0.365, 0.490], [0.635, 0.125, 0.010], [0.875, 0.885, 0.510], [0.250, 0.750, 0.500], [0.500, 0.500, 0.000]]}



{"formula": "Cs2TbSnTe4", "functional": "GGA-PBE", "state": "relaxed", "e_form_raw_ev_per_atom": -0.863, "sg": "Fddd", "lattice_angstrom": [[0.000, 8.004, 13.902], [3.638, 0.000, 13.902], [3.638, 8.004, 0.000]], "species": ["Cs", "Cs", "Cs", "Cs", "Tb", "Tb", "Sn", "Sn", "Te", "Te", "Te", "Te", "Te", "Te", "Te", "Te"], "fractional_positions": [[0.056, 0.056, 0.694], [0.306, 0.306, 0.944], [0.694, 0.694, 0.056], [0.944, 0.944, 0.306], [0.125, 0.125, 0.125], [0.875, 0.875, 0.875], [0.375, 0.375, 0.375], [0.625, 0.625, 0.625], [0.038, 0.324, 0.426], [0.288, 0.574, 0.676], [0.324, 0.038, 0.712], [0.426, 0.712, 0.038], [0.574, 0.288, 0.962], [0.676, 0.962, 0.288], [0.712, 0.426, 0.324], [0.962, 0.676, 0.574]]}



{"formula": "Nd2Y6Al", "functional": "GGA-PBE", "state": "relaxed", "formation_energy_ev_per_atom": 0.03, "sg": "C2/m", "lattice_angstrom": [[8.116, -5.086, 0.000], [8.116, 5.086, 0.000], [-0.768, 0.000, 3.452]], "species": ["Nd", "Nd", "Y", "Y", "Y", "Y", "Y", "Y", "Al"], "fractional_positions": [[0.147, 0.147, 0.147], [0.853, 0.853, 0.853], [0.164, 0.482, 0.824], [0.223, 0.777, 0.500], [0.482, 0.164, 0.824], [0.518, 0.836, 0.176], [0.777, 0.223, 0.500], [0.836, 0.518, 0.176], [0.500, 0.500, 0.000]]}



{"formula": "ZnBP3", "functional": "GGA-PBE", "state": "relaxed", "relative_energy_ev_per_atom": 0.984, "formation_energy_ev_per_atom": 1.83, "sg": "Pm-3m", "lattice_angstrom": [[4.611, 0.000, 0.000], [0.000, 4.611, 0.000], [0.000, 0.000, 4.611]], "species": ["Zn", "B", "P", "P", "P"], "fractional_positions": [[0.000, 0.000, 0.000], [0.500, 0.500, 0.500], [0.000, 0.000, 0.500], [0.000, 0.500, 0.000], [0.500, 0.000, 0.000]]}



{"formula": "LaErSb2O8", "functional": "GGA-PBE", "state": "relaxed", "e_form_raw_ev_per_atom": -2.324, "sg": "I-4", "lattice_angstrom": [[-2.672, 2.672, 5.728], [2.672, -2.672, 5.728], [2.672, 2.672, -5.728]], "species": ["La", "Er", "Sb", "Sb", "O", "O", "O", "O", "O", "O", "O", "O"], "fractional_positions": [[0.000, 0.000, 0.000], [0.250, 0.750, 0.500], [0.500, 0.500, 0.000], [0.750, 0.250, 0.500], [0.020, 0.084, 0.436], [0.243, 0.662, 0.086], [0.338, 0.424, 0.580], [0.416, 0.980, 0.064], [0.576, 0.156, 0.914], [0.648, 0.584, 0.564], [0.844, 0.757, 0.420], [0.916, 0.352, 0.936]]}